# 1
DFT (SCAN) results for K2Ag2GeSe4 at its PBEsol-relaxed geometry.

```
K2Ag2GeSe4
1.0
6.585 0.000 0.000
3.293 6.819 0.000
3.293 0.000 10.715
Ag Se K Ge
4 8 4 2
direct
0.825 0.500 0.351
0.925 0.000 0.149
0.675 0.500 0.649
0.075 0.000 0.851
0.653 0.217 0.874
0.277 0.717 0.626
0.006 0.717 0.374
0.620 0.283 0.374
0.744 0.783 0.126
0.130 0.217 0.126
0.097 0.283 0.626
0.473 0.783 0.874
0.686 0.000 0.627
0.064 0.500 0.873
0.436 0.500 0.127
0.314 0.000 0.373
0.250 0.500 0.500
0.500 0.000 0.000
```

- total magnetic moment (μB per atom) = 0.0000
- total DFT energy (no corrections) (eV per atom) = -20.59

# 2
DFT (SCAN) results for SrGeAs3 at its PBEsol-relaxed geometry.

```
SrGeAs3
1.0
4.984 0.000 0.000
0.000 4.984 0.000
0.000 0.000 4.984
As Ge Sr
3 1 1
direct
0.000 0.500 0.000
0.000 0.000 0.500
0.500 0.000 0.000
0.000 0.000 0.000
0.500 0.500 0.500
```

- ΔE to the lowest computed polymorph (meV/atom) = 0
- total magnetic moment (μB per atom) = 0.0000
- calculated formation energy (eV/atom) = -0.005
- Fermi-level density of states (states/eV/f.u.) = 4.30

# 3
DFT (SCAN) results for BaMnSe2 at its PBEsol-relaxed geometry.

```
BaMnSe2
1.0
-0.014 -2.257 -4.640
4.051 0.551 -3.149
3.111 -4.011 -0.927
Se Mn Ba
2 1 1
direct
0.000 0.000 0.000
0.750 0.750 0.750
0.250 0.250 0.250
0.500 0.500 0.500
```

- total magnetic moment (μB per atom) = 1.2494
- total DFT energy (no corrections) (eV per atom) = -24.91
- Fermi-level density of states (states/eV/f.u.) = 0.67

# 4
DFT (SCAN) results for Zn2BiPtPb at its PBEsol-relaxed geometry.

```
Zn2BiPtPb
1.0
-3.584 1.778 -2.977
-3.118 -3.526 1.648
-1.570 3.153 3.773
Pt Pb Bi Zn
1 1 1 2
direct
0.000 0.000 0.500
0.000 0.000 0.000
0.500 0.500 0.500
0.000 0.500 0.000
0.500 0.000 0.000
```

- total magnetic moment (μB per atom) = 0.0000
- calculated formation energy (eV/atom) = 0.783
- Fermi-level density of states (states/eV/f.u.) = 3.53

# 5
DFT (SCAN) results for LiMnCu3 at its PBEsol-relaxed geometry.

```
LiMnCu3
1.0
-1.867 -1.212 3.302
0.315 -3.781 -1.209
3.503 -0.305 1.869
Cu Li Mn
3 1 1
direct
0.000 0.000 0.500
0.500 0.000 0.000
0.000 0.500 0.000
0.000 0.000 0.000
0.500 0.500 0.500
```

- ΔE to the lowest computed polymorph (meV/atom) = 0
- total magnetic moment (μB per atom) = 0.8297
- calculated formation energy (eV/atom) = 0.558
- Fermi-level density of states (states/eV/f.u.) = 1.91

# 6
DFT (SCAN) results for BeReCl2 at its PBEsol-relaxed geometry.

```
BeReCl2
1.0
-1.637 0.327 2.358
2.173 -2.129 0.034
5.683 5.850 3.133
Re Be Cl
1 1 2
direct
0.000 0.000 0.522
0.500 0.000 0.755
0.500 0.000 0.309
0.000 0.000 0.914
```

- ΔE to the lowest computed polymorph (meV/atom) = 0
- total magnetic moment (μB per atom) = 0.2606
- Fermi-level density of states (states/eV/f.u.) = 2.17